The following is a DFT calculation (PBEsol) of a relaxed Ta2MoP crystal.

E_form (eV per atom): -0.26
Crystal system: orthorhombic

Cell lengths 3.2406, 4.1197, 5.0211 Å; angles 90.00, 108.83, 90.00 degrees
With the nearest neighbours (Å) after each atom.
Fractional positions:
Mo (0.8360, 0.0000, 0.6719)  7 Ta 2.57-2.72, 2 P 2.61
Ta (0.3943, 0.5000, 0.7885)  3 P 2.60-2.69, 4 Mo 2.68
Ta (0.1063, 0.0000, 0.2127)  3 Mo 2.57-2.72, 4 P 2.69
P (0.6678, 0.5000, 0.3356)  7 Ta 2.60-2.69, 2 Mo 2.61

***

The following is a DFT calculation (PBEsol) of a relaxed Ta2MoP crystal.

E_form (eV per atom): -0.16
Crystal system: trigonal

Cell lengths 3.2204, 3.2204, 7.5564 Å; angles 77.70, 77.70, 60.00 degrees
With the nearest neighbours (Å) after each atom.
Fractional positions:
Ta (0.7426, 0.7426, 0.7723)  3 P 2.50, 3 Mo 2.73
Ta (0.2574, 0.2574, 0.2277)  3 P 2.50, 3 Mo 2.73
P (0.0000, 0.0000, 0.0000)  6 Ta 2.50
Mo (0.5000, 0.5000, 0.5000)  6 Ta 2.73

***

The following is a DFT calculation (PBEsol) of a relaxed Ta2MoP crystal.

E_form (eV per atom): -0.14
Crystal system: tetragonal

Cell lengths 3.6807, 3.6807, 5.2675 Å; angles 110.45, 110.45, 90.00 degrees
With the nearest neighbours (Å) after each atom.
Fractional positions:
Ta (0.7500, 0.2500, 0.5000)  4 P 2.60
Ta (0.0000, 0.0000, 0.0000)  4 Mo 2.60
P (0.2500, 0.7500, 0.5000)  4 Ta 2.60
Mo (0.5000, 0.5000, 0.0000)  4 Ta 2.60

***

The following is a DFT calculation (PBEsol) of a relaxed TcMo4P crystal.

E_form (eV per atom): 0.60
Crystal system: cubic

Cell lengths 5.0728, 5.0728, 5.0728 Å; angles 60.00, 60.00, 60.00 degrees
With the nearest neighbours (Å) after each atom.
Fractional positions:
Mo (0.3763, 0.8710, 0.3763)  6 Mo 2.51-2.56
Mo (0.3763, 0.3763, 0.3763)  6 Mo 2.51-2.56
Mo (0.3763, 0.3763, 0.8710)  6 Mo 2.51-2.56
Mo (0.8710, 0.3763, 0.3763)  6 Mo 2.51-2.56
P (0.7500, 0.7500, 0.7500)  12 Mo 2.97, 4 Tc 3.11
Tc (0.0000, 0.0000, 0.0000)  12 Mo 2.98, 4 P 3.11

***

The following is a DFT calculation (PBEsol) of a relaxed TeMo2P crystal.

Formation energy (no corrections) (eV/atom): 0.625
Crystal system: cubic

Cell lengths 4.5320, 4.5320, 4.5320 Å; angles 60.00, 60.00, 60.00 degrees
With the nearest neighbours (Å) after each atom.
Fractional positions:
P (0.5000, 0.5000, 0.5000)  4 Mo 2.78, 4 Te 2.78
Mo (0.0000, 0.0000, 0.0000)  4 Te 2.78, 4 Mo 2.78
Mo (0.2500, 0.2500, 0.2500)  4 Mo 2.78, 4 P 2.78
Te (0.7500, 0.7500, 0.7500)  4 Mo 2.78, 4 P 2.78

***

The following is a DFT calculation (PBEsol) of a relaxed TeMo2P crystal.

Formation energy (no corrections) (eV/atom): 0.127
Crystal system: trigonal

Cell lengths 3.1939, 3.1939, 8.2134 Å; angles 78.79, 78.79, 60.00 degrees
With the nearest neighbours (Å) after each atom.
Fractional positions:
P (0.4865, 0.4865, 0.5404)  3 Mo 2.38
Te (0.2547, 0.2547, 0.2360)  3 Mo 2.67
Mo (0.0019, 0.0019, 0.9944)  3 Te 2.67, 3 Mo 2.81
Mo (0.7569, 0.7569, 0.7292)  3 P 2.38

***

The following is a DFT calculation (PBEsol) of a relaxed TeMoP2 crystal.

Formation energy (no corrections) (eV/atom): 0.385
Crystal system: tetragonal

Cell lengths 5.9019, 6.8157, 5.9019 Å; angles 64.34, 90.00, 115.66 degrees
With the nearest neighbours (Å) after each atom.
Fractional positions:
P (0.5641, 0.7500, 0.3750)  2 Mo 2.29
P (0.3750, 0.2500, 0.1859)  2 Mo 2.29
P (0.8750, 0.2500, 0.5641)  2 Mo 2.29
P (0.1859, 0.7500, 0.8750)  2 Mo 2.29
Mo (0.5000, 0.0000, 0.5000)  4 P 2.29
Mo (0.2500, 0.5000, 0.2500)  4 P 2.29
Te (0.0000, 0.0000, 0.0000)  4 P 2.71
Te (0.7500, 0.5000, 0.7500)  4 P 2.71

***

The following is a DFT calculation (PBEsol) of a relaxed TiMoP2 crystal.

E_form (eV per atom): -0.94
Crystal system: trigonal

Cell lengths 3.1857, 3.1857, 6.5129 Å; angles 90.00, 90.00, 120.00 degrees
With the nearest neighbours (Å) after each atom.
Fractional positions:
P (0.3333, 0.6667, 0.2489)  3 Mo 2.45, 3 Ti 2.46
P (0.6667, 0.3333, 0.7511)  3 Mo 2.45, 3 Ti 2.46
Ti (0.0000, 0.0000, 0.5000)  6 P 2.46
Mo (0.0000, 0.0000, 0.0000)  6 P 2.45

***

Repeat the eighth record exactly.
The following is a DFT calculation (PBEsol) of a relaxed TiMoP2 crystal.

E_form (eV per atom): -0.94
Crystal system: trigonal

Cell lengths 3.1857, 3.1857, 6.5129 Å; angles 90.00, 90.00, 120.00 degrees
With the nearest neighbours (Å) after each atom.
Fractional positions:
P (0.3333, 0.6667, 0.2489)  3 Mo 2.45, 3 Ti 2.46
P (0.6667, 0.3333, 0.7511)  3 Mo 2.45, 3 Ti 2.46
Ti (0.0000, 0.0000, 0.5000)  6 P 2.46
Mo (0.0000, 0.0000, 0.0000)  6 P 2.45